1.
46
Lattice="9.660 0.000 0.000 4.830 8.366 0.000 4.830 2.789 7.887" Properties=species:S:1:pos:R:3 comment="GGA-PBEsol ZrZn20Ni2, optimized geometry" dft_energy_ev_per_cell=-115.059 sg="No. 227" formation_enthalpy_0k_kj_per_mol_atoms=-19 pbc="T T T"
Zn 13.237 4.999 3.535
Zn 15.813 9.130 4.835
Zn 7.245 1.394 0.986
Zn 2.415 1.394 0.986
Zn 4.830 2.789 4.930
Zn 11.949 2.768 3.535
Zn 7.371 2.809 6.324
Zn 14.490 6.837 4.835
Zn 7.371 6.899 0.540
Zn 14.490 9.894 6.996
Zn 8.372 8.964 3.535
Zn 10.948 8.964 3.535
Zn 11.949 2.809 6.324
Zn 10.913 8.944 6.324
Zn 9.660 4.049 2.863
Zn 8.336 6.341 2.863
Zn 9.660 8.221 1.432
Zn 9.660 1.487 2.586
Zn 9.660 4.090 7.273
Zn 13.166 9.130 4.835
Zn 4.830 5.577 0.986
Zn 7.371 4.255 1.432
Zn 10.983 4.813 5.024
Zn 15.813 7.602 6.996
Zn 10.948 6.321 7.273
Zn 8.336 4.813 5.024
Zn 9.660 2.934 0.540
Zn 13.202 4.979 6.324
Zn 7.371 2.768 3.535
Zn 10.983 6.341 2.863
Zn 8.372 6.321 7.273
Zn 8.407 8.944 6.324
Zn 13.202 7.622 2.586
Zn 9.660 7.105 5.024
Zn 11.949 4.255 1.432
Zn 6.118 7.622 2.586
Zn 13.166 7.602 6.996
Zn 6.118 4.979 6.324
Zn 11.949 6.899 0.540
Zn 6.083 4.999 3.535
Ni 12.075 6.971 4.930
Ni 9.660 5.577 0.986
Ni 9.660 2.789 4.930
Ni 7.245 6.971 4.930
Zr 0.000 0.000 0.000
Zr 4.830 2.789 1.972

2.
4
Lattice="3.975 0.000 0.000 0.000 3.986 0.000 -1.988 -1.993 5.883" Properties=species:S:1:pos:R:3 comment="GGA-PBEsol CaSe2Br, optimized geometry" dft_energy_ev_per_cell=-15.804 sg="No. 71" formation_energy_uncorrected_kj_per_mol_fu=-396 pbc="T T T"
Se 0.000 0.000 2.945
Se 1.988 1.993 2.939
Br 1.988 0.000 0.000
Ca 0.000 1.993 0.000

Please write out number 1 again, unchanged.
46
Lattice="9.660 0.000 0.000 4.830 8.366 0.000 4.830 2.789 7.887" Properties=species:S:1:pos:R:3 comment="GGA-PBEsol ZrZn20Ni2, optimized geometry" dft_energy_ev_per_cell=-115.059 sg="No. 227" formation_enthalpy_0k_kj_per_mol_atoms=-19 pbc="T T T"
Zn 13.237 4.999 3.535
Zn 15.813 9.130 4.835
Zn 7.245 1.394 0.986
Zn 2.415 1.394 0.986
Zn 4.830 2.789 4.930
Zn 11.949 2.768 3.535
Zn 7.371 2.809 6.324
Zn 14.490 6.837 4.835
Zn 7.371 6.899 0.540
Zn 14.490 9.894 6.996
Zn 8.372 8.964 3.535
Zn 10.948 8.964 3.535
Zn 11.949 2.809 6.324
Zn 10.913 8.944 6.324
Zn 9.660 4.049 2.863
Zn 8.336 6.341 2.863
Zn 9.660 8.221 1.432
Zn 9.660 1.487 2.586
Zn 9.660 4.090 7.273
Zn 13.166 9.130 4.835
Zn 4.830 5.577 0.986
Zn 7.371 4.255 1.432
Zn 10.983 4.813 5.024
Zn 15.813 7.602 6.996
Zn 10.948 6.321 7.273
Zn 8.336 4.813 5.024
Zn 9.660 2.934 0.540
Zn 13.202 4.979 6.324
Zn 7.371 2.768 3.535
Zn 10.983 6.341 2.863
Zn 8.372 6.321 7.273
Zn 8.407 8.944 6.324
Zn 13.202 7.622 2.586
Zn 9.660 7.105 5.024
Zn 11.949 4.255 1.432
Zn 6.118 7.622 2.586
Zn 13.166 7.602 6.996
Zn 6.118 4.979 6.324
Zn 11.949 6.899 0.540
Zn 6.083 4.999 3.535
Ni 12.075 6.971 4.930
Ni 9.660 5.577 0.986
Ni 9.660 2.789 4.930
Ni 7.245 6.971 4.930
Zr 0.000 0.000 0.000
Zr 4.830 2.789 1.972